1.
The following is a DFT calculation (PBEsol) of an optimized crystal structure of Li2HgAu.

Cell lengths 4.406, 4.406, 3.221 Å; angles 90.00, 90.00, 90.00 degrees
Space group P4/mmm (No. 123)
Unique sites:
1 Li 0.000 0.500 0.000 x2
2 Hg 0.000 0.000 0.500 x1
3 Au 0.500 0.500 0.500 x1

The value obtained for the energy above the lowest structure with this stoichiometry is 6.6 meV per atom. The calculation puts the calculated volume at 63 Å³ per cell. The formation energy from the elements is -0.46 eV/atom.

---

2.
The following is a DFT calculation (PBEsol) of an optimized crystal structure of Rb3Nb20O34.

Cell lengths 10.424, 6.020, 13.230 Å; angles 90.00, 105.06, 90.00 degrees
Space group Pm (No. 6)
Unique sites:
1 Rb 0.000 0.000 0.000 x1
2 Rb 0.227 0.500 0.140 x1
3 Rb 0.704 0.000 0.140 x1
4 Nb 0.042 0.000 0.665 x1
5 Nb 0.103 0.000 0.302 x1
6 Nb 0.118 0.500 0.847 x1
7 Nb 0.179 0.500 0.487 x1
8 Nb 0.306 0.000 0.910 x1
9 Nb 0.314 0.272 0.665 x2
10 Nb 0.407 0.272 0.487 x2
11 Nb 0.412 0.000 0.245 x1
12 Nb 0.542 0.500 0.665 x1
13 Nb 0.604 0.500 0.301 x1
14 Nb 0.615 0.000 0.848 x1
15 Nb 0.679 0.000 0.487 x1
16 Nb 0.800 0.500 0.909 x1
17 Nb 0.814 0.228 0.665 x2
18 Nb 0.907 0.228 0.486 x2
19 Nb 0.922 0.500 0.243 x1
20 O 0.007 0.256 0.764 x2
21 O 0.110 0.250 0.575 x2
22 O 0.214 0.247 0.386 x2
23 O 0.226 0.000 0.194 x1
24 O 0.226 0.253 0.950 x2
25 O 0.250 0.500 0.763 x1
26 O 0.255 0.000 0.761 x1
27 O 0.360 0.000 0.576 x1
28 O 0.466 0.000 0.394 x1
29 O 0.468 0.500 0.388 x1
30 O 0.487 0.257 0.206 x2
31 O 0.492 0.000 0.950 x1
32 O 0.509 0.243 0.763 x2
33 O 0.611 0.250 0.576 x2
34 O 0.713 0.254 0.388 x2
35 O 0.735 0.236 0.951 x2
36 O 0.736 0.500 0.206 x1
37 O 0.753 0.000 0.764 x1
38 O 0.754 0.500 0.760 x1
39 O 0.860 0.500 0.576 x1
40 O 0.967 0.000 0.387 x1
41 O 0.968 0.500 0.393 x1
42 O 0.986 0.500 0.950 x1
43 O 0.990 0.241 0.197 x2

The calculation puts the calculated volume at 802 Å³ per cell. The calculation puts the total energy at -9.253 eV per atom.

---

3.
The following is a DFT calculation (PBEsol) of an optimized crystal structure of AlIn3Ni.

Cell lengths 5.135, 5.135, 5.135 Å; angles 90.00, 90.00, 90.00 degrees
Space group Pm-3m (No. 221)
Unique sites:
1 Al 0.000 0.000 0.000 x1
2 In 0.000 0.000 0.500 x3
3 Ni 0.500 0.500 0.500 x1

The calculation puts the calculated volume at 135 Å³ per cell. The formation energy from the elements is 0.94 eV/atom.

---

4.
The following is a DFT calculation (PBEsol) of an optimized crystal structure of RePtS3.

Cell lengths 4.591, 4.591, 4.591 Å; angles 90.00, 90.00, 90.00 degrees
Space group Pm-3m (No. 221)
Unique sites:
1 Re 0.000 0.000 0.000 x1
2 Pt 0.500 0.500 0.500 x1
3 S 0.000 0.500 0.500 x3

The calculation puts the calculated volume at 97 Å³ per cell. The calculation puts the total energy at -5.321 eV per atom.

---

5.
The following is a DFT calculation (PBEsol) of an optimized crystal structure of K3BiOs.

Cell lengths 6.008, 6.008, 6.008 Å; angles 90.00, 90.00, 90.00 degrees
Space group Pm-3m (No. 221)
Unique sites:
1 K 0.000 0.000 0.500 x3
2 Bi 0.500 0.500 0.500 x1
3 Os 0.000 0.000 0.000 x1

The calculation puts the calculated volume at 217 Å³ per cell. The formation energy from the elements is 1.32 eV/atom.

---

6.
The following is a DFT calculation (PBEsol) of an optimized crystal structure of Mg3CrC.

Cell lengths 5.123, 5.123, 5.123 Å; angles 90.00, 90.00, 90.00 degrees
Space group Pm-3m (No. 221)
Unique sites:
1 Mg 0.000 0.000 0.500 x3
2 Cr 0.000 0.000 0.000 x1
3 C 0.500 0.500 0.500 x1

The calculation puts the calculated volume at 134 Å³ per cell. The formation energy from the elements is 2.15 eV/atom.

---

7.
The following is a DFT calculation (PBEsol) of an optimized crystal structure of IrRh3.

Cell lengths 2.6879, 2.6879, 8.7349 Å; angles 90.00, 90.00, 120.00 degrees
Space group P-6m2 (No. 187)
Unique sites:
1 Ir 0.0000 0.0000 0.0000 x1
2 Rh 0.0000 0.0000 0.5000 x1
3 Rh 0.6667 0.3333 0.2502 x2

The calculation puts the calculated volume at 55 Å³ per cell. The formation energy from the elements is 0.04 eV/atom.

---

8.
The following is a DFT calculation (PBEsol) of an optimized crystal structure of PrGaO3.

Cell lengths 5.517, 7.737, 5.451 Å; angles 90.00, 90.00, 90.00 degrees
Space group Pnma (No. 62)
Unique sites:
1 Pr 0.043 0.250 0.011 x4
2 Ga 0.000 0.000 0.500 x4
3 O 0.017 0.750 0.420 x4
4 O 0.213 0.543 0.786 x8

The calculation puts the calculated volume at 233 Å³ per cell. The calculation puts the total energy at -7.548 eV per atom.

---

9.
The following is a DFT calculation (PBEsol) of an optimized crystal structure of RhWBr2.

Cell lengths 3.178, 3.178, 6.354 Å; angles 90.00, 90.00, 90.00 degrees
Space group P4/mmm (No. 123)
Unique sites:
1 Rh 0.000 0.000 0.000 x1
2 W 0.000 0.000 0.500 x1
3 Br 0.500 0.500 0.256 x2

The calculation puts the calculated volume at 64 Å³ per cell. The calculation puts the total energy at -5.510 eV per atom.

---

10.
The following is a DFT calculation (PBEsol) of an optimized crystal structure of Sr2Be3.

Cell lengths 4.1459, 4.1459, 24.7142 Å; angles 90.00, 90.00, 120.00 degrees
Space group R-3m (No. 166, hexagonal axes)
Unique sites:
1 Sr 0.0000 0.0000 0.0826 x6
2 Be 0.0000 0.0000 0.3342 x6
3 Be 0.0000 0.0000 0.5000 x3

The value obtained for the energy above the lowest structure with this stoichiometry is 486.7 meV per atom. The calculation puts the calculated volume at 368 Å³ per cell. The formation energy from the elements is 0.62 eV/atom.

---

11.
The following is a DFT calculation (PBEsol) of an optimized crystal structure of Li2TcSe.

Cell lengths 3.182, 3.182, 5.683 Å; angles 90.00, 90.00, 90.00 degrees
Space group P4mm (No. 99)
Unique sites:
1 Li 0.000 0.000 0.000 x1
2 Li 0.500 0.500 0.257 x1
3 Tc 0.500 0.500 0.735 x1
4 Se 0.000 0.000 0.538 x1

The calculation puts the calculated volume at 58 Å³ per cell. The calculation puts the total energy at -4.970 eV per atom.

---

12.
The following is a DFT calculation (PBEsol) of an optimized crystal structure of Bi2RuI.

Cell lengths 7.306, 7.306, 7.306 Å; angles 90.00, 90.00, 90.00 degrees
Space group Fm-3m (No. 225)
Unique sites:
1 Bi 0.250 0.250 0.250 x8
2 Ru 0.000 0.000 0.000 x4
3 I 0.000 0.000 0.500 x4

The calculation puts the calculated volume at 390 Å³ per cell. The calculation puts the total energy at -4.314 eV per atom.

---

13.
The following is a DFT calculation (PBEsol) of an optimized crystal structure of Ba2NaCu2.

Cell lengths 8.419, 8.419, 4.391 Å; angles 90.00, 90.00, 90.00 degrees
Space group P4/mbm (No. 127)
Unique sites:
1 Ba 0.176 0.324 0.000 x4
2 Na 0.000 0.000 0.500 x2
3 Cu 0.104 0.604 0.500 x4

The calculation puts the calculated volume at 311 Å³ per cell. The formation energy from the elements is 0.06 eV/atom.

---

14.
The following is a DFT calculation (PBEsol) of an optimized crystal structure of TlFeOs.

Cell lengths 4.2280, 4.2280, 3.1038 Å; angles 90.00, 90.00, 120.00 degrees
Space group P3m1 (No. 156)
Unique sites:
1 Tl 0.0000 0.0000 0.0000 x1
2 Fe 0.3333 0.6667 0.4479 x1
3 Os 0.6667 0.3333 0.5211 x1

The value obtained for the energy above the lowest structure with this stoichiometry is 0.0 meV per atom. The calculation puts the calculated volume at 48 Å³ per cell. The formation energy from the elements is 0.83 eV/atom.

---

15.
The following is a DFT calculation (PBEsol) of an optimized crystal structure of TaSbS2Cl.

Cell lengths 4.777, 4.777, 4.704 Å; angles 90.00, 90.00, 90.00 degrees
Space group P4/mmm (No. 123)
Unique sites:
1 Ta 0.000 0.000 0.000 x1
2 Sb 0.500 0.500 0.500 x1
3 S 0.000 0.500 0.000 x2
4 Cl 0.000 0.000 0.500 x1

The calculation puts the calculated volume at 107 Å³ per cell. The calculation puts the total energy at -5.786 eV per atom.

---

16.
The following is a DFT calculation (PBEsol) of an optimized crystal structure of Sc2TeI.

Cell lengths 7.148, 7.148, 7.148 Å; angles 90.00, 90.00, 90.00 degrees
Space group Fm-3m (No. 225)
Unique sites:
1 Sc 0.250 0.250 0.250 x8
2 Te 0.000 0.000 0.000 x4
3 I 0.000 0.000 0.500 x4

The calculation puts the calculated volume at 365 Å³ per cell. The calculation puts the total energy at -5.445 eV per atom.

---

17.
The following is a DFT calculation (PBEsol) of an optimized crystal structure of BaS2N.

Cell lengths 8.686, 8.686, 8.686 Å; angles 90.00, 90.00, 90.00 degrees
Space group Fd-3m (No. 227, origin choice 2)
Unique sites:
1 Ba 0.125 0.125 0.125 x8
2 S 0.000 0.000 0.500 x16
3 N 0.125 0.125 0.625 x8

The calculation puts the calculated volume at 655 Å³ per cell. The calculation puts the total energy at -5.017 eV per atom.

---

18.
The following is a DFT calculation (PBEsol) of an optimized crystal structure of LiLaCd.

Cell lengths 3.233, 4.765, 9.636 Å; angles 90.00, 90.00, 90.00 degrees
Space group Imm2 (No. 44)
Unique sites:
1 Li 0.000 0.000 0.000 x2
2 La 0.000 0.000 0.318 x2
3 Cd 0.000 0.000 0.654 x2

The value obtained for the energy above the lowest structure with this stoichiometry is 85.8 meV per atom. The calculation puts the calculated volume at 148 Å³ per cell. The formation energy from the elements is -0.13 eV/atom.

---

19.
The following is a DFT calculation (PBEsol) of an optimized crystal structure of K2SnH12N6.

Cell lengths 6.2284, 6.2284, 19.9322 Å; angles 90.00, 90.00, 120.00 degrees
Space group R-3 (No. 148, hexagonal axes)
Unique sites:
1 K 0.0000 0.0000 0.1776 x6
2 Sn 0.0000 0.0000 0.0000 x3
3 H 0.0501 0.6152 0.9628 x18
4 H 0.0766 0.5503 0.2583 x18
5 N 0.0080 0.2863 0.0661 x18

The calculation puts the calculated volume at 670 Å³ per cell. The calculation puts the total energy at -5.000 eV per atom.

---

20.
The following is a DFT calculation (PBEsol) of an optimized crystal structure of TaZnOs.

Cell lengths 3.014, 3.574, 8.366 Å; angles 90.00, 90.00, 90.00 degrees
Space group Imm2 (No. 44)
Unique sites:
1 Ta 0.000 0.000 0.000 x2
2 Zn 0.000 0.000 0.676 x2
3 Os 0.000 0.000 0.338 x2

The value obtained for the energy above the lowest structure with this stoichiometry is 0.0 meV per atom. The calculation puts the calculated volume at 90 Å³ per cell. The formation energy from the elements is -0.07 eV/atom.

---

Asked for spin magnetization across the records above, the calculation gives 0.00 3.07 0.36 3.64 4.04 6.40 0.00 0.00 0.00 0.00 0.00 0.80 0.00 2.91 0.00 0.00 0.02 0.00 0.00 0.00 μB/f.u. in order.